Below is a relaxed CsMgCd2 crystal, with properties calculated at the GGA-PBE level.

abc: 3.963 3.963 8.679
angles: 90.00 90.00 90.00
Fractional coordinates of all 4 atoms:
Mg: 0.500 0.500 0.000
Cd: 0.000 0.000 0.829
Cd: 0.000 0.000 0.171
Cs: 0.500 0.500 0.500

* space-group type: P4/mmm
* total magnetization: 0.0 μB per cell
* N(E_F): 0.618 states/eV per atom
* E_form: 3.51 kJ per mole of atoms
* mass density: 4654 kg/m3
* total DFT energy (no corrections): -4.133 eV for the cell shown


Below is a relaxed BaBiTe2Ru crystal, with properties calculated at the GGA-PBE level.

abc: 6.340 6.361 6.340
angles: 90.00 90.00 90.00
Last column: magnetic moment on the atom in μB.
Fractional coordinates of all 5 atoms:
Ba: 0.000 0.000 0.000  0.00
Bi: 0.000 0.500 0.000  -0.12
Te: 0.000 0.000 0.500  0.04
Te: 0.500 0.000 0.000  0.05
Ru: 0.500 0.500 0.500  2.77

* space-group type: P4/mmm
* total magnetization: 3.1 μB per cell
* N(E_F): 4.109 states/eV per atom
* mass density: 4563 kg/m3
* ΔE to the lowest computed polymorph: 513 meV per atom
* energy relative to the elements, uncorrected: 1.461 eV/atom
* total DFT energy (no corrections): -14.059 eV for the cell shown


Below is a relaxed Ta4Co5 crystal, with properties calculated at the GGA-PBE level.

abc: 3.779 6.032 6.032
angles: 95.63 108.26 71.74
Fractional coordinates of all 9 atoms:
Ta: 0.306 0.694 0.306
Ta: 0.694 0.306 0.694
Ta: 0.000 0.306 0.306
Ta: 0.000 0.694 0.694
Co: 0.662 0.677 0.000
Co: 0.662 0.000 0.323
Co: 0.338 0.323 0.000
Co: 0.000 0.000 0.000
Co: 0.338 0.000 0.677

* space-group type: I4/mmm
* total magnetization: 0.0 μB per cell
* N(E_F): 0.895 states/eV per atom
* E_form: -16.53 kJ per mole of atoms
* mass density: 13639 kg/m3
* ΔE to the lowest computed polymorph: 0 meV per atom
* total DFT energy (no corrections): -84.482 eV for the cell shown


Below is a relaxed CuReS2N crystal, with properties calculated at the GGA-PBE level.

abc: 4.630 4.630 3.465
angles: 90.00 90.00 90.00
Last column: magnetic moment on the atom in μB.
Fractional coordinates of all 5 atoms:
Re: 0.500 0.500 0.500  2.05
S: 0.500 0.000 0.000  -0.14
S: 0.000 0.500 0.000  -0.14
N: 0.000 0.000 0.500  -0.75
Cu: 0.000 0.000 0.000  -0.18

* space-group type: P4/mmm
* total magnetization: 0.8 μB per cell
* N(E_F): 0.801 states/eV per atom
* mass density: 7330 kg/m3
* ΔE to the lowest computed polymorph: 1004 meV per atom
* energy relative to the elements, uncorrected: 1.500 eV/atom
* total DFT energy (no corrections): -25.625 eV for the cell shown


Below is a relaxed NbV2Pd6 crystal, with properties calculated at the GGA-PBE level.

abc: 8.096 8.096 4.796
angles: 89.59 89.59 118.38
Last column: magnetic moment on the atom in μB.
Fractional coordinates of all 18 atoms:
Pd: 0.666 0.501 0.003  -0.02
Pd: 0.419 0.919 0.759  0.01
Pd: 0.001 0.166 0.003  -0.02
Pd: 0.581 0.081 0.241  0.01
Pd: 0.081 0.581 0.741  0.01
Pd: 0.834 0.999 0.497  -0.02
Pd: 0.999 0.834 0.997  -0.02
Pd: 0.919 0.419 0.259  0.01
Pd: 0.166 0.001 0.503  -0.02
Pd: 0.501 0.666 0.503  -0.02
Pd: 0.499 0.334 0.497  -0.02
Pd: 0.334 0.499 0.997  -0.02
Nb: 0.750 0.250 0.750  -0.03
Nb: 0.250 0.750 0.250  -0.03
V: 0.169 0.332 0.500  1.18
V: 0.668 0.831 0.000  1.18
V: 0.332 0.169 0.000  1.18
V: 0.831 0.668 0.500  1.18

* space-group type: C2/m
* total magnetization: 5.2 μB per cell
* N(E_F): 0.688 states/eV per atom
* E_form: -23.82 kJ per mole of atoms
* mass density: 10005 kg/m3
* ΔE to the lowest computed polymorph: 0 meV per atom
* total DFT energy (no corrections): -123.371 eV for the cell shown


Below is a relaxed Tb2AlZnPd6 crystal, with properties calculated at the GGA-PBE level.

abc: 6.574 6.573 6.563
angles: 60.03 60.02 90.07
Fractional coordinates of all 10 atoms:
Pd: 0.747 0.747 0.506
Pd: 0.253 0.253 0.000
Pd: 0.253 0.253 0.494
Pd: 0.747 0.747 0.000
Pd: 0.253 0.747 0.000
Pd: 0.747 0.253 0.000
Zn: 0.000 0.000 0.000
Tb: 0.250 0.750 0.500
Tb: 0.750 0.250 0.500
Al: 0.500 0.500 0.000

* space-group type: I4/mmm
* total magnetization: 0.0 μB per cell
* N(E_F): 0.603 states/eV per atom
* E_form: -39.95 kJ per mole of atoms
* mass density: 8685 kg/m3
* total DFT energy (no corrections): -49.575 eV for the cell shown